{"formula": "TbNd6In3", "functional": "PBE", "state": "optimized geometry", "ef_ev_per_atom": -0.15, "dft_energy_ev_per_atom": -4.2931, "space_group": "Cmc2_1 (36)", "total_magnetization_mub_per_fu": 0.00, "lattice_angstrom": [[5.351, -7.896, 0.000], [5.351, 7.896, 0.000], [0.000, 0.000, 7.897]], "species": ["Tb", "Tb", "Nd", "Nd", "Nd", "Nd", "Nd", "Nd", "Nd", "Nd", "Nd", "Nd", "Nd", "Nd", "In", "In", "In", "In", "In", "In"], "frac_coords": [[0.203, 0.797, 0.500], [0.797, 0.203, 0.000], [0.046, 0.954, 0.795], [0.081, 0.455, 0.296], [0.228, 0.295, 0.982], [0.295, 0.228, 0.482], [0.306, 0.694, 0.946], [0.455, 0.081, 0.796], [0.545, 0.919, 0.296], [0.694, 0.306, 0.446], [0.705, 0.772, 0.982], [0.772, 0.705, 0.482], [0.919, 0.545, 0.796], [0.954, 0.046, 0.295], [0.005, 0.278, 0.655], [0.278, 0.005, 0.155], [0.451, 0.549, 0.262], [0.549, 0.451, 0.762], [0.722, 0.995, 0.655], [0.995, 0.722, 0.155]]}

---

{"formula": "Na2SrTi", "functional": "PBE", "state": "optimized geometry", "ef_ev_per_atom": 0.64, "de_polymorph_ev_per_atom": 0.000, "dft_energy_ev_per_atom": -2.4119, "space_group": "Fm-3m (225)", "total_magnetization_mub_per_fu": 2.79, "lattice_angstrom": [[0.000, 4.051, 4.051], [4.051, 0.000, 4.051], [4.051, 4.051, 0.000]], "species": ["Na", "Na", "Sr", "Ti"], "frac_coords": [[0.250, 0.250, 0.250], [0.750, 0.750, 0.750], [0.000, 0.000, 0.000], [0.500, 0.500, 0.500]]}

---

{"formula": "YZnBi3", "functional": "PBE", "state": "optimized geometry", "ef_ev_per_atom": 0.42, "de_polymorph_ev_per_atom": 0.228, "dft_energy_ev_per_atom": -3.4573, "space_group": "Pm-3m (221)", "total_magnetization_mub_per_fu": 0.00, "lattice_angstrom": [[5.909, 0.000, 0.000], [0.000, 5.909, 0.000], [0.000, 0.000, 5.909]], "species": ["Y", "Zn", "Bi", "Bi", "Bi"], "frac_coords": [[0.000, 0.000, 0.000], [0.500, 0.500, 0.500], [0.000, 0.000, 0.500], [0.000, 0.500, 0.000], [0.500, 0.000, 0.000]]}

---

{"formula": "SnHgP", "functional": "PBE", "state": "optimized geometry", "ef_ev_per_atom": 0.06, "de_polymorph_ev_per_atom": 0.000, "dft_energy_ev_per_atom": -3.1808, "space_group": "P3m1 (156)", "total_magnetization_mub_per_fu": 0.00, "lattice_angstrom": [[3.946, 0.000, 0.000], [-1.973, 3.417, 0.000], [0.000, 0.000, 5.508]], "species": ["Sn", "Hg", "P"], "frac_coords": [[0.000, 0.000, 0.000], [0.333, 0.667, 0.594], [0.667, 0.333, 0.241]]}

---

{"formula": "Zr2Sc2Pd", "functional": "PBE", "state": "optimized geometry", "ef_ev_per_atom": -0.11, "de_polymorph_ev_per_atom": 0.000, "dft_energy_ev_per_atom": -7.0997, "space_group": "P4/mbm (127)", "total_magnetization_mub_per_fu": 0.00, "lattice_angstrom": [[6.786, 0.000, 0.000], [0.000, 6.786, 0.000], [0.000, 0.000, 4.840]], "species": ["Zr", "Zr", "Zr", "Zr", "Sc", "Sc", "Sc", "Sc", "Pd", "Pd"], "frac_coords": [[0.155, 0.345, 0.000], [0.345, 0.845, 0.000], [0.655, 0.155, 0.000], [0.845, 0.655, 0.000], [0.151, 0.651, 0.500], [0.349, 0.151, 0.500], [0.651, 0.849, 0.500], [0.849, 0.349, 0.500], [0.000, 0.000, 0.500], [0.500, 0.500, 0.500]]}

---

{"formula": "Nd3Sb4Rh3", "functional": "PBE", "state": "optimized geometry", "dft_energy_ev_per_atom": -6.1459, "space_group": "I-43d (220)", "total_magnetization_mub_per_fu": 0.00, "lattice_angstrom": [[-4.942, 4.942, 4.942], [4.942, -4.942, 4.942], [4.942, 4.942, -4.942]], "species": ["Nd", "Nd", "Nd", "Nd", "Nd", "Nd", "Sb", "Sb", "Sb", "Sb", "Sb", "Sb", "Sb", "Sb", "Rh", "Rh", "Rh", "Rh", "Rh", "Rh"], "frac_coords": [[0.125, 0.750, 0.875], [0.250, 0.625, 0.375], [0.375, 0.250, 0.625], [0.625, 0.375, 0.250], [0.750, 0.875, 0.125], [0.875, 0.125, 0.750], [0.000, 0.348, 0.500], [0.000, 0.848, 0.500], [0.152, 0.152, 0.152], [0.348, 0.500, 0.000], [0.500, 0.000, 0.348], [0.500, 0.000, 0.848], [0.652, 0.652, 0.652], [0.848, 0.500, 0.000], [0.125, 0.875, 0.250], [0.250, 0.125, 0.875], [0.375, 0.625, 0.750], [0.625, 0.750, 0.375], [0.750, 0.375, 0.625], [0.875, 0.250, 0.125]]}

---

{"formula": "Pr5Er6Th2", "functional": "PBE", "state": "optimized geometry", "ef_ev_per_atom": 0.11, "dft_energy_ev_per_atom": -4.9763, "space_group": "Pbam (55)", "total_magnetization_mub_per_fu": 0.00, "lattice_angstrom": [[11.576, 0.000, 0.000], [0.000, 21.027, 0.000], [0.000, 0.000, 3.596]], "species": ["Pr", "Pr", "Pr", "Pr", "Pr", "Pr", "Pr", "Pr", "Pr", "Pr", "Er", "Er", "Er", "Er", "Er", "Er", "Er", "Er", "Er", "Er", "Er", "Er", "Th", "Th", "Th", "Th"], "frac_coords": [[0.000, 0.000, 0.000], [0.063, 0.295, 0.000], [0.192, 0.578, 0.000], [0.308, 0.078, 0.000], [0.437, 0.795, 0.000], [0.500, 0.500, 0.000], [0.563, 0.205, 0.000], [0.692, 0.922, 0.000], [0.808, 0.422, 0.000], [0.937, 0.705, 0.000], [0.061, 0.148, 0.500], [0.081, 0.438, 0.500], [0.187, 0.877, 0.000], [0.313, 0.377, 0.000], [0.419, 0.938, 0.500], [0.439, 0.648, 0.500], [0.561, 0.352, 0.500], [0.581, 0.062, 0.500], [0.687, 0.623, 0.000], [0.813, 0.123, 0.000], [0.919, 0.562, 0.500], [0.939, 0.852, 0.500], [0.189, 0.737, 0.500], [0.311, 0.237, 0.500], [0.689, 0.763, 0.500], [0.811, 0.263, 0.500]]}

---

{"formula": "AuSe2Br2", "functional": "PBE", "state": "optimized geometry", "de_polymorph_ev_per_atom": 0.000, "dft_energy_ev_per_atom": -2.7427, "space_group": "C2/m (12)", "total_magnetization_mub_per_fu": 0.00, "lattice_angstrom": [[7.834, -2.051, 0.000], [7.834, 2.051, 0.000], [-1.423, 0.000, 4.769]], "species": ["Au", "Se", "Se", "Br", "Br"], "frac_coords": [[0.000, 0.000, 0.000], [0.448, 0.448, 0.287], [0.552, 0.552, 0.713], [0.159, 0.159, 0.290], [0.841, 0.841, 0.710]]}

---

{"formula": "LiTiCu2", "functional": "PBE", "state": "optimized geometry", "ef_ev_per_atom": -0.01, "dft_energy_ev_per_atom": -4.5121, "space_group": "P4/mmm (123)", "total_magnetization_mub_per_fu": 0.57, "lattice_angstrom": [[2.812, 0.000, 0.000], [0.000, 2.812, 0.000], [0.000, 0.000, 6.951]], "species": ["Li", "Ti", "Cu", "Cu"], "frac_coords": [[0.000, 0.000, 0.000], [0.000, 0.000, 0.500], [0.500, 0.500, 0.241], [0.500, 0.500, 0.759]]}

---

{"formula": "CePuPS", "functional": "PBE", "state": "optimized geometry", "dft_energy_ev_per_atom": -9.0965, "space_group": "R3m (160)", "total_magnetization_mub_per_fu": 6.25, "lattice_angstrom": [[2.021, 1.167, 6.533], [-2.021, 1.167, 6.533], [0.000, -2.334, 6.533]], "species": ["Ce", "Pu", "P", "S"], "frac_coords": [[0.000, 0.000, 0.000], [0.501, 0.501, 0.501], [0.248, 0.248, 0.248], [0.754, 0.754, 0.754]]}

---

{"formula": "Sr2ZnMo", "functional": "PBE", "state": "optimized geometry", "ef_ev_per_atom": 0.86, "dft_energy_ev_per_atom": -3.0063, "space_group": "R-3m (166)", "total_magnetization_mub_per_fu": 2.12, "lattice_angstrom": [[1.825, 1.054, 10.098], [-1.825, 1.054, 10.098], [0.000, -2.107, 10.098]], "species": ["Sr", "Sr", "Zn", "Mo"], "frac_coords": [[0.247, 0.247, 0.247], [0.753, 0.753, 0.753], [0.000, 0.000, 0.000], [0.500, 0.500, 0.500]]}

---

{"formula": "YMgTl", "functional": "PBE", "state": "optimized geometry", "ef_ev_per_atom": -0.23, "dft_energy_ev_per_atom": -3.7053, "space_group": "P2/m (10)", "total_magnetization_mub_per_fu": 0.00, "lattice_angstrom": [[4.623, 0.000, 0.000], [0.000, 4.456, 0.000], [-2.296, 0.000, 7.564]], "species": ["Y", "Y", "Mg", "Mg", "Tl", "Tl"], "frac_coords": [[0.162, 0.000, 0.325], [0.838, 0.000, 0.675], [0.000, 0.500, 0.000], [0.500, 0.000, 0.000], [0.346, 0.500, 0.690], [0.654, 0.500, 0.310]]}

---

{"formula": "ZnSiNi14", "functional": "PBE", "state": "optimized geometry", "dft_energy_ev_per_atom": -5.5679, "space_group": "Amm2 (38)", "total_magnetization_mub_per_fu": 6.32, "lattice_angstrom": [[8.125, 0.000, 0.000], [0.000, 2.538, 4.273], [0.000, -2.538, 4.273]], "species": ["Zn", "Si", "Ni", "Ni", "Ni", "Ni", "Ni", "Ni", "Ni", "Ni", "Ni", "Ni", "Ni", "Ni", "Ni", "Ni"], "frac_coords": [[0.000, 0.000, 0.000], [0.000, 0.500, 0.500], [0.000, 0.502, 0.999], [0.000, 0.999, 0.502], [0.248, 0.331, 0.823], [0.248, 0.823, 0.331], [0.249, 0.327, 0.327], [0.255, 0.827, 0.827], [0.500, 0.156, 0.156], [0.500, 0.159, 0.656], [0.500, 0.656, 0.159], [0.500, 0.657, 0.657], [0.745, 0.827, 0.827], [0.751, 0.327, 0.327], [0.752, 0.331, 0.823], [0.752, 0.823, 0.331]]}

---

{"formula": "Rb5CuCl6", "functional": "PBE", "state": "optimized geometry", "dft_energy_ev_per_atom": -3.3079, "space_group": "C2/m (12)", "total_magnetization_mub_per_fu": 0.21, "lattice_angstrom": [[4.026, -7.031, 0.000], [4.026, 7.031, 0.000], [-2.164, 0.000, 7.699]], "species": ["Rb", "Rb", "Rb", "Rb", "Rb", "Cu", "Cl", "Cl", "Cl", "Cl", "Cl", "Cl"], "frac_coords": [[0.000, 0.000, 0.000], [0.184, 0.816, 0.500], [0.341, 0.659, 0.000], [0.659, 0.341, 0.000], [0.816, 0.184, 0.500], [0.500, 0.500, 0.500], [0.054, 0.396, 0.226], [0.326, 0.326, 0.665], [0.396, 0.054, 0.226], [0.604, 0.946, 0.774], [0.674, 0.674, 0.335], [0.946, 0.604, 0.774]]}

---

{"formula": "RbScOsO6", "functional": "PBE", "state": "optimized geometry", "dft_energy_ev_per_atom": -7.1380, "space_group": "P312 (149)", "total_magnetization_mub_per_fu": 0.00, "lattice_angstrom": [[5.401, 0.000, 0.000], [-2.700, 4.677, 0.000], [0.000, 0.000, 6.252]], "species": ["Rb", "Sc", "Os", "O", "O", "O", "O", "O", "O"], "frac_coords": [[0.000, 0.000, 0.000], [0.667, 0.333, 0.500], [0.333, 0.667, 0.500], [0.032, 0.408, 0.325], [0.032, 0.624, 0.675], [0.376, 0.408, 0.675], [0.376, 0.968, 0.325], [0.592, 0.624, 0.325], [0.592, 0.968, 0.675]]}

---

{"formula": "CrNiOs2", "functional": "PBE", "state": "optimized geometry", "ef_ev_per_atom": 0.12, "de_polymorph_ev_per_atom": 0.046, "dft_energy_ev_per_atom": -9.3465, "space_group": "Cm (8)", "total_magnetization_mub_per_fu": 0.88, "lattice_angstrom": [[4.401, -1.343, 0.000], [4.401, 1.343, 0.000], [-0.807, 0.000, 4.406]], "species": ["Cr", "Ni", "Os", "Os"], "frac_coords": [[0.000, 0.000, 0.000], [0.250, 0.250, 0.766], [0.497, 0.497, 0.506], [0.748, 0.748, 0.260]]}